This record from OQMD via LeMat-Bulk describes an optimized crystal structure of NaTh5Zn2. The functional is PBE-GGA.

Properties
- magnetic moment (μB per formula unit) = 0.0
- calculated total energy (hartree per atom) = -0.1502

a b c (Å): 7.1065 7.1065 5.0386
angles (deg): 90.00 90.00 90.00
Last column: nearest neighbours and their distance in Å.
Space group P4/mmm (No. 123)
Asymmetric unit:
Na: 0.0000 0.0000 0.0000 [1 per cell]  2 Th 2.52
Th: 0.0000 0.0000 0.5000 [1 per cell]  2 Na 2.52
Th: 0.2827 0.2827 0.0000 [4 per cell]  1 Na 2.84, 2 Th 3.09
Zn: 0.0000 0.5000 0.5000 [2 per cell]  10 Th 3.55-3.57

=====

This record from OQMD via LeMat-Bulk describes an optimized crystal structure of NaThZr. The functional is PBE-GGA.

Properties
- magnetic moment (μB per formula unit) = 1.3
- calculated total energy (hartree per atom) = -0.1666

a b c (Å): 7.2193 7.2193 7.2193
angles (deg): 90.00 90.00 90.00
Last column: nearest neighbours and their distance in Å.
Space group F-43m (No. 216)
Asymmetric unit:
Na: 0.0000 0.0000 0.0000 [4 per cell]  4 Zr 3.13
Th: 0.0000 0.0000 0.5000 [4 per cell]  4 Zr 3.13
Zr: 0.2500 0.2500 0.2500 [4 per cell]  4 Na 3.13, 4 Th 3.13

=====

This record from OQMD via LeMat-Bulk describes an optimized crystal structure of NaThZr. The functional is PBE-GGA.

Properties
- magnetic moment (μB per formula unit) = 1.3
- calculated total energy (hartree per atom) = -0.1604

a b c (Å): 7.3241 7.3241 7.3241
angles (deg): 90.00 90.00 90.00
Last column: nearest neighbours and their distance in Å.
Space group F-43m (No. 216)
Asymmetric unit:
Na: 0.0000 0.0000 0.0000 [4 per cell]  4 Th 3.17
Th: 0.2500 0.2500 0.2500 [4 per cell]  4 Zr 3.17, 4 Na 3.17
Zr: 0.0000 0.0000 0.5000 [4 per cell]  4 Th 3.17

=====

This record from OQMD via LeMat-Bulk describes an optimized crystal structure of NaUTl. The functional is PBE-GGA.

Properties
- magnetic moment (μB per formula unit) = 2.8
- calculated total energy (hartree per atom) = -0.1503

a b c (Å): 7.2744 7.2744 7.2744
angles (deg): 90.00 90.00 90.00
Last column: nearest neighbours and their distance in Å.
Space group F-43m (No. 216)
Asymmetric unit:
Na: 0.0000 0.0000 0.0000 [4 per cell]  4 Tl 3.15
U: 0.0000 0.0000 0.5000 [4 per cell]  4 Tl 3.15
Tl: 0.2500 0.2500 0.2500 [4 per cell]  4 Na 3.15, 4 U 3.15

=====

This record from OQMD via LeMat-Bulk describes an optimized crystal structure of NaUTl. The functional is PBE-GGA.

Properties
- magnetic moment (μB per formula unit) = 3.4
- calculated total energy (hartree per atom) = -0.1391

a b c (Å): 7.3497 7.3497 7.3497
angles (deg): 90.00 90.00 90.00
Last column: nearest neighbours and their distance in Å.
Space group F-43m (No. 216)
Asymmetric unit:
Na: 0.0000 0.0000 0.0000 [4 per cell]  4 U 3.18
U: 0.2500 0.2500 0.2500 [4 per cell]  4 Tl 3.18, 4 Na 3.18
Tl: 0.0000 0.0000 0.5000 [4 per cell]  4 U 3.18

=====

This record from OQMD via LeMat-Bulk describes an optimized crystal structure of Na2U2Tl. The functional is PBE-GGA.

Properties
- magnetic moment (μB per formula unit) = 7.7
- calculated total energy (hartree per atom) = -0.1615

a b c (Å): 5.4461 5.4461 12.1423
angles (deg): 90.00 90.00 120.00
Last column: nearest neighbours and their distance in Å.
Space group P6_3/mmc (No. 194)
Asymmetric unit:
Na: 0.3333 0.6667 0.1097 [4 per cell]  1 Na 3.41, 6 U 3.41-3.58, 3 Tl 3.58
U: 0.0000 0.0000 0.0000 [2 per cell]  2 Tl 3.04
U: 0.3333 0.6667 0.7500 [2 per cell]  3 Tl 3.14
Tl: 0.0000 0.0000 0.2500 [2 per cell]  5 U 3.04-3.14